Record 1
Here is Li2Fe3S4 after structural relaxation from Alexandria via LeMat-Bulk. Energies are from PBE.

```
Li2Fe3S4
1.0
1.674 -6.496 -0.843
6.131 1.796 -2.213
2.252 -0.305 5.482
Li Fe S
4 6 8
Direct
0.730 0.513 0.391
0.513 0.730 0.891
0.487 0.270 0.109
0.270 0.487 0.609
0.995 0.217 0.083
0.217 0.995 0.583
0.216 0.784 0.250
0.784 0.216 0.750
0.783 0.005 0.417
0.005 0.783 0.917
0.777 0.482 0.975
0.482 0.777 0.475
0.252 0.012 0.970
0.012 0.252 0.470
0.988 0.748 0.530
0.748 0.988 0.030
0.518 0.223 0.525
0.223 0.518 0.025
```

Summary:
Formation energy without anion corrections (eV/atom): -0.54
Energy relative to the lowest polymorph listed for this composition (eV/atom): 0.000
Space group: C2/c, No. 15

=====

Record 2
Here is LiFe2S after structural relaxation from Alexandria via LeMat-Bulk. Energies are from PBE.

```
LiFe2S
1.0
7.110 0.000 0.000
0.000 7.110 0.000
3.555 3.555 2.281
S Fe Li
2 4 2
Direct
0.000 0.000 0.000
0.750 0.250 0.500
0.707 0.125 0.250
0.043 0.625 0.250
0.375 0.293 0.750
0.875 0.957 0.750
0.500 0.500 0.000
0.250 0.750 0.500
```

Summary:
Formation energy without anion corrections (eV/atom): 0.11
Space group: I-42d, No. 122

=====

Record 3
Here is Li2Fe2S3 after structural relaxation from Alexandria via LeMat-Bulk. Energies are from PBE.

```
Li2Fe2S3
1.0
6.197 0.000 0.000
0.000 6.118 0.000
0.000 2.995 6.664
Li Fe S
4 4 6
Direct
0.395 0.236 0.359
0.895 0.264 0.641
0.105 0.736 0.359
0.605 0.764 0.641
0.640 0.853 0.022
0.860 0.353 0.022
0.140 0.647 0.978
0.360 0.147 0.978
0.500 0.500 0.000
0.000 0.000 0.000
0.019 0.368 0.300
0.519 0.132 0.700
0.481 0.868 0.300
0.981 0.632 0.700
```

Summary:
Formation energy without anion corrections (eV/atom): -0.61
Energy relative to the lowest polymorph listed for this composition (eV/atom): 0.069
Space group: P2_1/c, No. 14

=====

Record 4
Here is Li2Fe2S3 after structural relaxation from Alexandria via LeMat-Bulk. Energies are from PBE.

```
Li2Fe2S3
1.0
-4.590 -7.913 0.771
7.104 -5.631 1.452
0.026 -1.965 6.135
Li Fe S
8 8 12
Direct
0.985 0.820 0.041
0.820 0.985 0.541
0.721 0.279 0.250
0.425 0.575 0.250
0.575 0.425 0.750
0.279 0.721 0.750
0.180 0.015 0.459
0.015 0.180 0.959
0.629 0.790 0.361
0.936 0.448 0.395
0.790 0.629 0.861
0.448 0.936 0.895
0.552 0.064 0.105
0.210 0.371 0.139
0.064 0.552 0.605
0.371 0.210 0.639
0.719 0.561 0.268
0.392 0.853 0.294
0.561 0.719 0.768
0.853 0.392 0.794
0.784 0.998 0.177
0.216 0.002 0.823
0.147 0.608 0.206
0.439 0.281 0.232
0.998 0.784 0.677
0.608 0.147 0.706
0.281 0.439 0.732
0.002 0.216 0.323
```

Summary:
Formation energy without anion corrections (eV/atom): -0.68
Energy relative to the lowest polymorph listed for this composition (eV/atom): 0.000
Space group: C2/c, No. 15

=====

Record 5
Here is Li3FeS after structural relaxation from Alexandria via LeMat-Bulk. Energies are from PBE.

```
Li3FeS
1.0
4.599 0.000 0.000
0.000 4.599 0.000
0.000 0.000 4.599
S Fe Li
1 1 3
Direct
0.000 0.000 0.000
0.500 0.500 0.500
0.000 0.500 0.000
0.000 0.000 0.500
0.500 0.000 0.000
```

Summary:
Formation energy without anion corrections (eV/atom): -0.08
Energy relative to the lowest polymorph listed for this composition (eV/atom): 0.000
Space group: Pm-3m, No. 221

=====

Record 6
Here is Li3FeS3 after structural relaxation from Alexandria via LeMat-Bulk. Energies are from PBE.

```
Li3FeS3
1.0
-8.967 2.513 -9.013
3.894 -2.542 -4.583
-0.692 -6.602 -1.152
Li Fe S
12 4 12
Direct
0.686 0.088 0.776
0.814 0.088 0.276
0.719 0.672 0.161
0.944 0.721 0.957
0.444 0.279 0.543
0.219 0.328 0.339
0.781 0.672 0.661
0.556 0.721 0.457
0.056 0.279 0.043
0.281 0.328 0.839
0.186 0.912 0.724
0.314 0.912 0.224
0.933 0.336 0.647
0.567 0.336 0.147
0.433 0.664 0.853
0.067 0.664 0.353
0.357 0.973 0.846
0.621 0.379 0.441
0.390 0.332 0.157
0.143 0.973 0.346
0.879 0.379 0.941
0.110 0.332 0.657
0.890 0.668 0.343
0.121 0.621 0.059
0.857 0.027 0.654
0.610 0.668 0.843
0.379 0.621 0.559
0.643 0.027 0.154
```

Summary:
Formation energy without anion corrections (eV/atom): -0.89
Energy relative to the lowest polymorph listed for this composition (eV/atom): 0.030
Space group: P2_1/c, No. 14

=====

Record 7
Here is Li2Fe2S3 after structural relaxation from Alexandria via LeMat-Bulk. Energies are from PBE.

```
Li2Fe2S3
1.0
6.625 0.000 0.000
0.000 6.388 -0.025
0.000 2.822 5.915
Li Fe S
4 4 6
Direct
0.340 0.125 0.068
0.160 0.625 0.068
0.840 0.375 0.932
0.660 0.875 0.932
0.613 0.444 0.354
0.113 0.056 0.646
0.887 0.944 0.354
0.387 0.556 0.646
0.500 0.500 0.000
0.000 0.000 0.000
0.941 0.317 0.337
0.441 0.183 0.663
0.559 0.817 0.337
0.059 0.683 0.663
```

Summary:
Formation energy without anion corrections (eV/atom): -0.63
Energy relative to the lowest polymorph listed for this composition (eV/atom): 0.057
Space group: P2_1/c, No. 14

=====

Record 8
Here is Li3FeS after structural relaxation from Alexandria via LeMat-Bulk. Energies are from PBE.

```
Li3FeS
1.0
-3.344 -0.367 -3.258
-1.309 -4.117 1.808
-3.006 2.202 2.837
S Fe Li
1 1 3
Direct
0.500 0.500 0.500
0.000 0.000 0.000
0.000 0.500 0.000
0.000 0.000 0.500
0.500 0.000 0.000
```

Summary:
Formation energy without anion corrections (eV/atom): 0.51
Energy relative to the lowest polymorph listed for this composition (eV/atom): 0.589
Space group: Pm-3m, No. 221

=====

Number 1: M_tot 15.3 Bohr magnetons per cell. Number 2: M_tot 9.9 Bohr magnetons per cell. Number 3: M_tot 15.6 Bohr magnetons per cell. Number 4: M_tot 29.0 Bohr magnetons per cell. Number 5: M_tot 3.0 Bohr magnetons per cell. Number 6: M_tot 15.9 Bohr magnetons per cell. Number 7: M_tot 15.6 Bohr magnetons per cell. Number 8: M_tot 3.0 Bohr magnetons per cell.